CrMo2W (PBEsol, relaxed); relative energy among the computed polymorphs = 2.90 kJ per mole of atoms; total magnetic moment = 0.00 μB per formula unit; E = -11.81 eV/atom; DOS at the Fermi energy = 2.7 states/eV/cell; formation energy = 83.8 meV/atom
1.0
2.680 0.000 0.000
-0.909 4.984 0.000
-0.886 -2.492 4.341
Mo W Cr
2 1 1
Direct
0.500 0.500 0.500
0.000 0.000 0.500
0.500 0.000 0.000
0.000 0.500 0.000

---

CrMo2W (PBEsol, relaxed); relative energy among the computed polymorphs = 2.60 kJ per mole of atoms; total magnetic moment = 0.00 μB per formula unit; E = -11.82 eV/atom; DOS at the Fermi energy = 2.7 states/eV/cell; formation energy = 80.7 meV/atom
1.0
2.674 0.000 0.000
0.000 4.332 0.000
-0.892 0.000 4.997
W Cr Mo
1 1 2
Direct
0.500 0.500 0.000
0.000 0.500 0.500
0.248 0.000 0.256
0.752 0.000 0.744

---

Question: Which value of E does entry 1 give?
Answer: -11.81 eV/atom

---

Question: What is the formation energy in the second record?
Answer: 80.7 meV/atom

---

Repeat the second record exactly.
CrMo2W (PBEsol, relaxed); relative energy among the computed polymorphs = 2.60 kJ per mole of atoms; total magnetic moment = 0.00 μB per formula unit; E = -11.82 eV/atom; DOS at the Fermi energy = 2.7 states/eV/cell; formation energy = 80.7 meV/atom
1.0
2.674 0.000 0.000
0.000 4.332 0.000
-0.892 0.000 4.997
W Cr Mo
1 1 2
Direct
0.500 0.500 0.000
0.000 0.500 0.500
0.248 0.000 0.256
0.752 0.000 0.744

---

Question: Which of these has the lowest relative energy among the computed polymorphs?
Answer: number 2